# 1
{
  "formula": "RuC3",
  "functional": "PBE",
  "state": "optimized geometry",
  "magmom_total_mub_per_fu": 0.0,
  "ef_mev_per_atom": 2863,
  "lattice_angstrom": [[3.576, 0.000, 0.000], [0.000, 3.576, 0.000], [0.000, 0.000, 2.698]],
  "species": ["Ru", "C", "C", "C"],
  "frac_coords": [[0.000, 0.000, 0.000], [0.000, 0.500, 0.500], [0.500, 0.000, 0.500], [0.500, 0.500, 0.000]]
}

=====

# 2
{
  "formula": "Tl2BiAu",
  "functional": "PBE",
  "state": "optimized geometry",
  "magmom_total_mub_per_fu": 0.0,
  "ef_mev_per_atom": 26,
  "lattice_angstrom": [[3.471, 0.000, 0.000], [0.000, 3.471, 0.000], [0.000, 0.000, 9.189]],
  "species": ["Tl", "Tl", "Bi", "Au"],
  "frac_coords": [[0.000, 0.000, 0.211], [0.000, 0.000, 0.789], [0.500, 0.500, 0.500], [0.500, 0.500, 0.000]]
}

=====

# 3
{
  "formula": "Y2TaMo",
  "functional": "PBE",
  "state": "optimized geometry",
  "magmom_total_mub_per_fu": 0.0,
  "ef_mev_per_atom": 1033,
  "lattice_angstrom": [[-4.003, 4.003, 2.944], [4.003, -4.003, 2.944], [4.003, 4.003, -2.944]],
  "species": ["Y", "Y", "Y", "Y", "Ta", "Ta", "Mo", "Mo"],
  "frac_coords": [[0.103, 0.625, 0.978], [0.375, 0.353, 0.478], [0.647, 0.125, 0.022], [0.875, 0.897, 0.522], [0.250, 0.750, 0.500], [0.500, 0.500, 0.000], [0.000, 0.000, 0.000], [0.750, 0.250, 0.500]]
}

=====

# 4
{
  "formula": "BaCeSnHg",
  "functional": "PBE",
  "state": "optimized geometry",
  "magmom_total_mub_per_fu": 1.8,
  "ef_mev_per_atom": -409,
  "lattice_angstrom": [[0.000, 4.053, 4.053], [4.053, 0.000, 4.053], [4.053, 4.053, 0.000]],
  "species": ["Ba", "Ce", "Sn", "Hg"],
  "frac_coords": [[0.000, 0.000, 0.000], [0.500, 0.500, 0.500], [0.250, 0.250, 0.250], [0.750, 0.750, 0.750]]
}

=====

Number 3 is which compound?
Y2TaMo

=====

Number 4 is which compound?
BaCeSnHg